Entry 1:
The following is a meta-GGA SCAN calculation of CsSO3 at its PBEsol-relaxed geometry, from the Alexandria database.

Computed properties:
density: 5.60 Mg/m³
final energy: -13.409 eV/atom
symmetry: Pm-3m, No. 221
uncorrected formation energy: -0.183 eV per atom

Lattice parameters (Å, degrees): 3.982 3.982 3.982 90.00 90.00 90.00
Sites, in units of the cell vectors:
O1 0.000 0.000 0.500
O2 0.000 0.500 0.000
O3 0.500 0.000 0.000
S1 0.000 0.000 0.000
Cs1 0.500 0.500 0.500

Entry 2:
The following is a meta-GGA SCAN calculation of CsSO3 at its PBEsol-relaxed geometry, from the Alexandria database.

Computed properties:
density: 3.50 Mg/m³
final energy: -15.098 eV/atom
symmetry: P6_3mc, No. 186
uncorrected formation energy: -1.871 eV per atom

Lattice parameters (Å, degrees): 6.260 6.260 11.918 90.00 90.00 120.00
Sites, in units of the cell vectors:
O1 0.596 0.798 0.309
O2 0.798 0.202 0.809
O3 0.202 0.798 0.309
O4 0.404 0.202 0.809
O5 0.798 0.596 0.809
O6 0.536 0.071 0.566
O7 0.929 0.464 0.566
O8 0.202 0.404 0.309
O9 0.464 0.536 0.066
O10 0.464 0.929 0.066
O11 0.071 0.536 0.066
O12 0.536 0.464 0.566
S1 0.333 0.667 0.280
S2 0.667 0.333 0.780
S3 0.667 0.333 0.597
S4 0.333 0.667 0.097
Cs1 0.000 0.000 0.495
Cs2 0.000 0.000 0.995
Cs3 0.667 0.333 0.254
Cs4 0.333 0.667 0.754

Entry 3:
The following is a meta-GGA SCAN calculation of CsSbS2O8 at its PBEsol-relaxed geometry, from the Alexandria database.

Computed properties:
density: 3.96 Mg/m³
final energy: -13.719 eV/atom
symmetry: P2_12_12_1, No. 19
uncorrected formation energy: -1.705 eV per atom

Lattice parameters (Å, degrees): 5.247 9.484 15.062 90.00 90.00 90.00
Sites, in units of the cell vectors:
Sb1 0.718 0.001 0.482
Sb2 0.282 0.501 0.018
Sb3 0.782 0.999 0.982
Sb4 0.218 0.499 0.518
S1 0.246 0.839 0.412
S2 0.237 0.831 0.094
S3 0.763 0.331 0.406
S4 0.746 0.661 0.588
S5 0.754 0.339 0.088
S6 0.254 0.161 0.912
S7 0.263 0.169 0.594
S8 0.737 0.669 0.906
O1 0.756 0.207 0.137
O2 0.485 0.074 0.887
O3 0.022 0.074 0.879
O4 0.915 0.391 0.335
O5 0.370 0.135 0.505
O6 0.717 0.831 0.895
O7 0.015 0.926 0.387
O8 0.630 0.635 0.995
O9 0.515 0.574 0.613
O10 0.232 0.176 0.008
O11 0.130 0.865 0.005
O12 0.783 0.169 0.395
O13 0.217 0.669 0.105
O14 0.283 0.331 0.605
O15 0.494 0.373 0.402
O16 0.585 0.609 0.835
O17 0.244 0.707 0.363
O18 0.268 0.824 0.508
O19 0.732 0.324 0.992
O20 0.978 0.574 0.621
O21 0.522 0.426 0.121
O22 0.478 0.926 0.379
O23 0.744 0.793 0.637
O24 0.006 0.627 0.902
O25 0.768 0.676 0.492
O26 0.985 0.426 0.113
O27 0.870 0.365 0.495
O28 0.256 0.293 0.863
O29 0.415 0.109 0.665
O30 0.994 0.127 0.598
O31 0.085 0.891 0.165
O32 0.506 0.873 0.098
Cs1 0.257 0.170 0.246
Cs2 0.743 0.670 0.254
Cs3 0.757 0.330 0.754
Cs4 0.243 0.830 0.746

Entry 4:
The following is a meta-GGA SCAN calculation of CsScS2O8 at its PBEsol-relaxed geometry, from the Alexandria database.

Computed properties:
density: 3.03 Mg/m³
final energy: -12.410 eV/atom
symmetry: P-3m1, No. 164
uncorrected formation energy: -2.314 eV per atom

Lattice parameters (Å, degrees): 5.275 5.275 8.414 90.00 90.00 120.00
Sites, in units of the cell vectors:
O1 0.362 0.181 0.853
O2 0.333 0.667 0.382
O3 0.819 0.181 0.853
O4 0.667 0.333 0.618
O5 0.819 0.638 0.853
O6 0.181 0.819 0.147
O7 0.638 0.819 0.147
O8 0.181 0.362 0.147
S1 0.333 0.667 0.209
S2 0.667 0.333 0.791
Cs1 0.000 0.000 0.500
Sc1 0.000 0.000 0.000

Entry 5:
The following is a meta-GGA SCAN calculation of CsVSO6 at its PBEsol-relaxed geometry, from the Alexandria database.

Computed properties:
density: 3.54 Mg/m³
final energy: -13.526 eV/atom
symmetry: Pbcm, No. 57
uncorrected formation energy: -2.158 eV per atom

Lattice parameters (Å, degrees): 6.575 10.332 17.239 90.00 90.00 90.00
Sites, in units of the cell vectors:
O1 0.565 0.237 0.641
O2 0.564 0.738 0.641
O3 0.500 0.073 0.250
O4 0.935 0.737 0.641
O5 0.436 0.262 0.359
O6 0.750 0.081 0.085
O7 0.500 0.427 0.750
O8 0.500 0.927 0.750
O9 0.500 0.573 0.250
O10 0.936 0.238 0.641
O11 0.250 0.581 0.415
O12 0.000 0.573 0.250
O13 0.249 0.793 0.478
O14 0.251 0.293 0.478
O15 0.749 0.707 0.522
O16 0.751 0.293 0.022
O17 0.750 0.213 0.772
O18 0.935 0.763 0.141
O19 0.750 0.581 0.085
O20 0.249 0.707 0.978
O21 0.250 0.213 0.728
O22 0.250 0.419 0.915
O23 0.250 0.713 0.728
O24 0.250 0.081 0.415
O25 0.000 0.073 0.250
O26 0.250 0.287 0.228
O27 0.750 0.919 0.585
O28 0.750 0.419 0.585
O29 0.750 0.287 0.272
O30 0.435 0.737 0.859
O31 0.000 0.427 0.750
O32 0.564 0.762 0.141
O33 0.565 0.263 0.141
O34 0.936 0.262 0.141
O35 0.250 0.919 0.915
O36 0.250 0.787 0.228
O37 0.064 0.762 0.359
O38 0.750 0.713 0.772
O39 0.749 0.793 0.022
O40 0.064 0.738 0.859
O41 0.435 0.763 0.359
O42 0.436 0.238 0.859
O43 0.000 0.927 0.750
O44 0.750 0.787 0.272
O45 0.251 0.207 0.978
O46 0.065 0.263 0.359
O47 0.751 0.207 0.522
O48 0.065 0.237 0.859
Cs1 0.750 0.517 0.908
Cs2 0.250 0.983 0.092
Cs3 0.250 0.517 0.592
Cs4 0.750 0.983 0.408
Cs5 0.750 0.017 0.908
Cs6 0.250 0.017 0.592
Cs7 0.250 0.483 0.092
Cs8 0.750 0.483 0.408
V1 0.000 0.273 0.750
V2 0.500 0.727 0.250
V3 0.000 0.773 0.750
V4 0.000 0.727 0.250
V5 0.500 0.773 0.750
V6 0.000 0.227 0.250
V7 0.500 0.273 0.750
V8 0.500 0.227 0.250
S1 0.249 0.721 0.406
S2 0.751 0.279 0.594
S3 0.751 0.221 0.094
S4 0.251 0.279 0.906
S5 0.749 0.721 0.094
S6 0.249 0.779 0.906
S7 0.251 0.221 0.406
S8 0.749 0.779 0.594

Entry 6:
The following is a meta-GGA SCAN calculation of CsSbO2 at its PBEsol-relaxed geometry, from the Alexandria database.

Computed properties:
density: 5.09 Mg/m³
final energy: -23.518 eV/atom
symmetry: C2/c, No. 15
uncorrected formation energy: -1.635 eV per atom

Lattice parameters (Å, degrees): 5.582 6.356 6.356 101.19 109.79 109.79
Sites, in units of the cell vectors:
Cs1 0.250 0.649 0.351
Cs2 0.750 0.351 0.649
O1 0.703 0.218 0.131
O2 0.797 0.869 0.782
O3 0.203 0.131 0.218
O4 0.297 0.782 0.869
Sb1 0.750 0.918 0.082
Sb2 0.250 0.082 0.918

Entry 7:
The following is a meta-GGA SCAN calculation of Cs3SbO4 at its PBEsol-relaxed geometry, from the Alexandria database.

Computed properties:
density: 4.88 Mg/m³
final energy: -23.666 eV/atom
symmetry: Pnma, No. 62
uncorrected formation energy: -1.714 eV per atom

Lattice parameters (Å, degrees): 6.808 9.141 12.788 90.00 90.00 90.00
Sites, in units of the cell vectors:
O1 0.118 0.921 0.889
O2 0.443 0.750 0.009
O3 0.882 0.421 0.111
O4 0.057 0.750 0.509
O5 0.382 0.579 0.389
O6 0.060 0.750 0.267
O7 0.618 0.079 0.611
O8 0.940 0.250 0.733
O9 0.382 0.921 0.389
O10 0.560 0.250 0.233
O11 0.118 0.579 0.889
O12 0.943 0.250 0.491
O13 0.618 0.421 0.611
O14 0.557 0.250 0.991
O15 0.882 0.079 0.111
O16 0.440 0.750 0.767
Cs1 0.351 0.250 0.426
Cs2 0.294 0.507 0.148
Cs3 0.149 0.250 0.926
Cs4 0.706 0.493 0.852
Cs5 0.206 0.993 0.648
Cs6 0.794 0.007 0.352
Cs7 0.649 0.750 0.574
Cs8 0.706 0.007 0.852
Cs9 0.206 0.507 0.648
Cs10 0.294 0.993 0.148
Cs11 0.794 0.493 0.352
Cs12 0.851 0.750 0.074
Sb1 0.278 0.750 0.889
Sb2 0.778 0.250 0.611
Sb3 0.722 0.250 0.111
Sb4 0.222 0.750 0.389

Entry 8:
The following is a meta-GGA SCAN calculation of CsSiSbO5 at its PBEsol-relaxed geometry, from the Alexandria database.

Computed properties:
density: 4.67 Mg/m³
final energy: -16.834 eV/atom
symmetry: Ama2, No. 40
uncorrected formation energy: -2.304 eV per atom

Lattice parameters (Å, degrees): 7.222 7.222 19.789 90.00 90.00 90.00
Sites, in units of the cell vectors:
O1 0.500 0.499 0.660
O2 0.769 0.497 0.250
O3 0.803 0.690 0.364
O4 0.500 0.499 0.840
O5 0.690 0.803 0.864
O6 0.690 0.195 0.636
O7 0.804 0.310 0.136
O8 0.000 0.500 0.031
O9 0.229 0.497 0.250
O10 0.800 0.800 0.000
O11 0.200 0.200 0.500
O12 0.500 0.000 0.531
O13 0.800 0.800 0.500
O14 0.310 0.195 0.864
O15 0.800 0.200 0.999
O16 0.690 0.195 0.864
O17 0.200 0.800 0.499
O18 0.999 0.000 0.394
O19 0.497 0.229 0.750
O20 0.195 0.690 0.136
O21 0.200 0.200 0.000
O22 0.195 0.310 0.136
O23 0.310 0.195 0.636
O24 0.195 0.310 0.364
O25 0.803 0.690 0.136
O26 0.500 0.000 0.969
O27 0.310 0.804 0.864
O28 0.000 0.500 0.469
O29 0.000 0.999 0.606
O30 0.999 0.000 0.106
O31 0.499 0.500 0.160
O32 0.499 0.500 0.340
O33 0.310 0.804 0.636
O34 0.497 0.769 0.750
O35 0.690 0.803 0.636
O36 0.195 0.690 0.364
O37 0.000 0.999 0.894
O38 0.800 0.200 0.501
O39 0.804 0.310 0.364
O40 0.200 0.800 0.001
Cs1 0.500 0.500 0.500
Cs2 0.500 0.999 0.388
Cs3 0.000 0.028 0.250
Cs4 0.500 0.999 0.112
Cs5 0.028 0.000 0.750
Cs6 0.999 0.500 0.888
Cs7 0.999 0.500 0.612
Cs8 0.500 0.500 0.000
Si1 0.725 0.500 0.331
Si2 0.725 0.500 0.169
Si3 0.500 0.725 0.831
Si4 0.273 0.500 0.169
Si5 0.500 0.273 0.669
Si6 0.500 0.273 0.831
Si7 0.273 0.500 0.331
Si8 0.500 0.725 0.669
Sb1 0.999 0.248 0.434
Sb2 0.248 0.999 0.934
Sb3 0.248 0.999 0.566
Sb4 0.999 0.752 0.434
Sb5 0.999 0.752 0.066
Sb6 0.752 0.999 0.934
Sb7 0.999 0.248 0.066
Sb8 0.752 0.999 0.566

Entry 9:
The following is a meta-GGA SCAN calculation of CsV2SbO8 at its PBEsol-relaxed geometry, from the Alexandria database.

Computed properties:
density: 4.10 Mg/m³
final energy: -15.589 eV/atom
symmetry: P2_1/c, No. 14
uncorrected formation energy: -2.264 eV per atom

Lattice parameters (Å, degrees): 5.623 8.510 16.393 90.00 90.00 90.40
Sites, in units of the cell vectors:
O1 0.476 0.647 0.872
O2 0.255 0.541 0.014
O3 0.239 0.560 0.389
O4 0.761 0.440 0.611
O5 0.259 0.237 0.838
O6 0.241 0.263 0.338
O7 0.739 0.060 0.111
O8 0.559 0.337 0.462
O9 0.441 0.663 0.538
O10 0.976 0.147 0.628
O11 0.755 0.041 0.486
O12 0.233 0.584 0.181
O13 0.448 0.184 0.990
O14 0.524 0.353 0.128
O15 0.745 0.459 0.986
O16 0.010 0.326 0.116
O17 0.510 0.826 0.384
O18 0.767 0.416 0.819
O19 0.052 0.316 0.490
O20 0.261 0.940 0.889
O21 0.059 0.837 0.038
O22 0.741 0.763 0.162
O23 0.552 0.816 0.010
O24 0.267 0.916 0.681
O25 0.024 0.853 0.372
O26 0.759 0.737 0.662
O27 0.990 0.674 0.884
O28 0.948 0.684 0.510
O29 0.245 0.959 0.514
O30 0.941 0.163 0.962
O31 0.733 0.084 0.319
O32 0.490 0.174 0.616
V1 0.228 0.137 0.921
V2 0.256 0.456 0.109
V3 0.744 0.544 0.891
V4 0.728 0.637 0.579
V5 0.756 0.956 0.391
V6 0.272 0.363 0.421
V7 0.772 0.863 0.079
V8 0.244 0.044 0.609
Sb1 0.260 0.743 0.953
Sb2 0.740 0.257 0.047
Sb3 0.240 0.757 0.453
Sb4 0.760 0.243 0.547
Cs1 0.767 0.492 0.279
Cs2 0.267 0.992 0.221
Cs3 0.233 0.508 0.721
Cs4 0.733 0.008 0.779

Entry 10:
The following is a meta-GGA SCAN calculation of CsSbWO6 at its PBEsol-relaxed geometry, from the Alexandria database.

Computed properties:
density: 6.43 Mg/m³
final energy: -22.311 eV/atom
symmetry: Ima2, No. 46
uncorrected formation energy: -2.073 eV per atom

Lattice parameters (Å, degrees): 7.238 7.309 7.309 60.75 60.32 60.32
Sites, in units of the cell vectors:
Sb1 0.500 0.003 0.997
Sb2 0.000 0.003 0.997
O1 0.326 0.927 0.921
O2 0.674 0.079 0.073
O3 0.063 0.683 0.064
O4 0.059 0.687 0.694
O5 0.308 0.322 0.936
O6 0.690 0.683 0.064
O7 0.310 0.936 0.317
O8 0.937 0.936 0.317
O9 0.941 0.306 0.313
O10 0.934 0.322 0.936
O11 0.692 0.064 0.678
O12 0.066 0.064 0.678
Cs1 0.622 0.619 0.636
Cs2 0.378 0.364 0.381
W1 0.994 0.488 0.025
W2 0.006 0.975 0.512

Entry 11:
The following is a meta-GGA SCAN calculation of CsScSe2O6 at its PBEsol-relaxed geometry, from the Alexandria database.

Computed properties:
density: 4.16 Mg/m³
final energy: -14.901 eV/atom
symmetry: Pnma, No. 62
uncorrected formation energy: -1.941 eV per atom

Lattice parameters (Å, degrees): 5.625 6.922 17.691 90.00 90.00 90.00
Sites, in units of the cell vectors:
O1 0.512 0.754 0.052
O2 0.985 0.983 0.694
O3 0.485 0.483 0.806
O4 0.515 0.983 0.694
O5 0.985 0.517 0.194
O6 0.012 0.254 0.448
O7 0.250 0.383 0.066
O8 0.250 0.590 0.683
O9 0.750 0.410 0.317
O10 0.750 0.617 0.934
O11 0.515 0.517 0.194
O12 0.250 0.117 0.566
O13 0.015 0.017 0.306
O14 0.988 0.754 0.052
O15 0.750 0.883 0.434
O16 0.488 0.246 0.948
O17 0.750 0.090 0.817
O18 0.485 0.017 0.306
O19 0.012 0.246 0.948
O20 0.250 0.910 0.183
O21 0.488 0.254 0.448
O22 0.015 0.483 0.806
O23 0.512 0.746 0.552
O24 0.988 0.746 0.552
Sc1 0.250 0.647 0.129
Sc2 0.250 0.853 0.629
Sc3 0.750 0.147 0.371
Sc4 0.750 0.353 0.871
Se1 0.750 0.913 0.749
Se2 0.250 0.087 0.251
Se3 0.250 0.107 0.469
Se4 0.750 0.607 0.031
Se5 0.750 0.587 0.249
Se6 0.750 0.893 0.531
Se7 0.250 0.393 0.969
Se8 0.250 0.413 0.751
Cs1 0.250 0.870 0.896
Cs2 0.750 0.370 0.604
Cs3 0.750 0.130 0.104
Cs4 0.250 0.630 0.396